1.
La6Ni2PdI3 GGA-PBE optimized geometry; DOS(E_F) = 8.575 states/eV/f.u.; size of the total moment = 0.00 μB/f.u.; formation energy without anion corrections = -0.811 eV/atom
1.0
-2.538 1.835 6.684
-3.715 -4.836 -4.160
6.389 -5.163 2.483
I La Pd Ni
3 6 1 2
Cartesian
0.068 -4.082 2.504 I
-0.326 -6.312 -1.121 I
0.461 -1.852 6.128 I
0.624 -5.352 5.830 La
-0.489 -2.811 -0.822 La
3.433 -5.061 2.741 La
-3.298 -3.103 2.267 La
0.218 -7.658 2.083 La
-0.082 -0.506 2.925 La
0.000 0.000 0.000 Pd
-2.930 -0.389 3.070 Ni
-3.323 -2.612 -0.545 Ni

***

2.
Ba2NiIrI GGA-PBE optimized geometry; DOS(E_F) = 3.989 states/eV/f.u.; size of the total moment = 0.00 μB/f.u.; formation energy without anion corrections = -0.387 eV/atom
1.0
-1.456 -5.670 -1.894
5.611 -1.969 1.582
-1.535 -1.006 4.192
I Ni Ir Ba
1 1 1 2
Cartesian
1.310 -4.322 1.940 I
-0.767 -0.503 2.096 Ni
0.000 0.000 0.000 Ir
2.805 -0.984 0.791 Ba
-0.728 -2.835 -0.947 Ba

***

3.
Mn2AlRh GGA-PBE optimized geometry; DOS(E_F) = 4.634 states/eV/f.u.; size of the total moment = 1.30 μB/f.u.; DFT formation energy = -0.1130 eV per atom
1.0
3.905 0.000 0.000
0.000 2.659 0.016
0.000 2.635 4.877
Al Mn Rh
1 2 1
Cartesian
1.953 3.970 3.670 Al
0.000 2.636 4.737 Mn
0.000 2.646 2.587 Mn
1.953 1.323 1.223 Rh

***

4.
CaPmY2As4 GGA-PBE optimized geometry; DOS(E_F) = 4.007 states/eV/f.u.; size of the total moment = 0.00 μB/f.u.; DFT formation energy = -1.3783 eV per atom
1.0
4.174 0.000 0.000
0.000 7.272 -0.160
0.000 2.542 6.775
As Y Ca Pm
4 2 1 1
Cartesian
4.174 2.401 1.666 As
2.087 3.668 5.075 As
0.000 7.413 4.949 As
2.087 6.146 1.540 As
0.000 2.542 6.775 Y
2.087 1.271 3.388 Y
0.000 4.907 3.307 Ca
2.087 3.636 -0.080 Pm

***

5.
Nd4IrRhBr2 GGA-PBE optimized geometry; DOS(E_F) = 1.617 states/eV/f.u.; size of the total moment = 0.00 μB/f.u.; formation energy without anion corrections = -1.088 eV/atom
1.0
4.146 0.000 0.000
0.000 7.169 0.125
0.000 -2.515 7.783
Br Nd Ir Rh
2 4 1 1
Cartesian
2.073 -1.257 3.892 Br
0.000 2.327 3.954 Br
2.073 3.498 6.358 Nd
2.073 1.157 1.550 Nd
0.000 4.754 1.613 Nd
0.000 -0.100 6.295 Nd
0.000 0.000 0.000 Ir
2.073 3.585 0.063 Rh

***

6.
CeTlRh GGA-PBE optimized geometry; DOS(E_F) = 4.543 states/eV/f.u.; size of the total moment = 0.37 μB/f.u.; DFT formation energy = -0.5309 eV per atom
1.0
3.835 0.000 0.000
0.000 7.952 0.000
0.000 0.000 13.498
Ce Tl Rh
6 6 6
Cartesian
0.000 1.731 12.877 Ce
0.000 1.731 7.371 Ce
0.000 6.221 0.622 Ce
0.000 6.221 6.128 Ce
0.000 6.675 10.124 Ce
0.000 1.277 3.375 Ce
1.917 3.472 5.208 Tl
1.917 4.479 11.957 Tl
1.917 6.499 3.375 Tl
1.917 4.479 8.290 Tl
1.917 3.472 1.541 Tl
1.917 1.452 10.124 Tl
0.000 3.503 10.124 Rh
1.917 0.593 5.419 Rh
1.917 7.359 12.168 Rh
1.917 0.593 1.330 Rh
0.000 4.448 3.375 Rh
1.917 7.359 8.079 Rh